a) The following is a PBE calculation of a geometry-optimized FeAsSBr2 structure, from the Alexandria database.

Summary:
Volume ... 26.1 A^3/atom
Total moment ... 4.31 μB per cell
Space-group type ... P4/mmm
Crystal system ... tetragonal
Density ... 4.107 Mg/m³

Cell: 5.1633 5.1633 4.8931 Å, 90.00 90.00 90.00°
Last column: magnetic moment on the atom in μB.
Element x y z (fractional)
S 0.0000 0.0000 0.0000  0.00
As 0.0000 0.0000 0.5000  0.15
Fe 0.5000 0.5000 0.5000  3.45
Br 0.0000 0.5000 0.0000  0.07
Br 0.5000 0.0000 0.0000  0.07


b) The following is a PBE calculation of a geometry-optimized FeAsSBr2 structure, from the Alexandria database.

Summary:
Volume ... 21.2 A^3/atom
Total moment ... 0.00 μB per cell
Space-group type ... P4/mmm
Crystal system ... tetragonal
Density ... 5.063 Mg/m³

Cell: 4.7428 4.7428 4.7045 Å, 90.00 90.00 90.00°
Element x y z (fractional)
S 0.5000 0.5000 0.5000
As 0.0000 0.0000 0.5000
Fe 0.0000 0.0000 0.0000
Br 0.0000 0.5000 0.0000
Br 0.5000 0.0000 0.0000


Most stable structure: b)


a) The following is a PBE calculation of a geometry-optimized ScFeAs2Br structure, from the Alexandria database.

Summary:
Volume ... 27.3 A^3/atom
Total moment ... 3.64 μB per cell
Space-group type ... P4/mmm
Crystal system ... tetragonal
Density ... 4.025 Mg/m³

Cell: 5.1605 5.1605 5.1202 Å, 90.00 90.00 90.00°
Last column: magnetic moment on the atom in μB.
Element x y z (fractional)
Sc 0.0000 0.0000 0.0000  0.02
As 0.0000 0.5000 0.0000  -0.02
As 0.5000 0.0000 0.0000  -0.02
Fe 0.5000 0.5000 0.5000  3.39
Br 0.0000 0.0000 0.5000  0.03


b) The following is a PBE calculation of a geometry-optimized ScFeAs2Br structure, from the Alexandria database.

Summary:
Volume ... 21.4 A^3/atom
Total moment ... 2.32 μB per cell
Space-group type ... P4/mmm
Crystal system ... tetragonal
Density ... 5.132 Mg/m³

Cell: 4.5669 4.5669 5.1282 Å, 90.00 90.00 90.00°
Last column: magnetic moment on the atom in μB.
Element x y z (fractional)
Sc 0.5000 0.5000 0.5000  0.29
As 0.0000 0.5000 0.0000  -0.01
As 0.5000 0.0000 0.0000  -0.01
Fe 0.0000 0.0000 0.0000  1.84
Br 0.0000 0.0000 0.5000  0.01


Most stable structure: b)


a) The following is a PBE calculation of a geometry-optimized FeAs2SeBr structure, from the Alexandria database.

Summary:
Volume ... 20.9 A^3/atom
Total moment ... 1.54 μB per cell
Space-group type ... P4/mmm
Crystal system ... tetragonal
Density ... 5.792 Mg/m³

Cell: 4.7194 4.7194 4.6929 Å, 90.00 90.00 90.00°
Last column: magnetic moment on the atom in μB.
Element x y z (fractional)
As 0.0000 0.5000 0.0000  -0.04
As 0.5000 0.0000 0.0000  -0.04
Se 0.5000 0.5000 0.5000  -0.09
Br 0.0000 0.0000 0.5000  0.09
Fe 0.0000 0.0000 0.0000  1.67


b) The following is a PBE calculation of a geometry-optimized FeAs2SeBr structure, from the Alexandria database.

Summary:
Volume ... 26.3 A^3/atom
Total moment ... 3.48 μB per cell
Space-group type ... P4/mmm
Crystal system ... tetragonal
Density ... 4.605 Mg/m³

Cell: 5.0599 5.0599 5.1342 Å, 90.00 90.00 90.00°
Last column: magnetic moment on the atom in μB.
Element x y z (fractional)
As 0.0000 0.5000 0.0000  0.00
As 0.5000 0.0000 0.0000  0.00
Se 0.0000 0.0000 0.5000  -0.03
Br 0.0000 0.0000 0.0000  -0.04
Fe 0.5000 0.5000 0.5000  3.38


c) The following is a PBE calculation of a geometry-optimized FeAs2SeBr structure, from the Alexandria database.

Summary:
Volume ... 26.7 A^3/atom
Total moment ... 3.94 μB per cell
Space-group type ... P4/mmm
Crystal system ... tetragonal
Density ... 4.542 Mg/m³

Cell: 5.0594 5.0594 5.2063 Å, 90.00 90.00 90.00°
Last column: magnetic moment on the atom in μB.
Element x y z (fractional)
As 0.0000 0.5000 0.0000  0.05
As 0.5000 0.0000 0.0000  0.05
Se 0.0000 0.0000 0.0000  0.00
Br 0.0000 0.0000 0.5000  0.07
Fe 0.5000 0.5000 0.5000  3.41


d) The following is a PBE calculation of a geometry-optimized FeAs2SeBr structure, from the Alexandria database.

Summary:
Volume ... 21.1 A^3/atom
Total moment ... 2.42 μB per cell
Space-group type ... P4/mmm
Crystal system ... tetragonal
Density ... 5.741 Mg/m³

Cell: 4.7743 4.7743 4.6259 Å, 90.00 90.00 90.00°
Last column: magnetic moment on the atom in μB.
Element x y z (fractional)
As 0.0000 0.5000 0.0000  0.03
As 0.5000 0.0000 0.0000  0.03
Se 0.0000 0.0000 0.5000  0.18
Br 0.5000 0.5000 0.5000  -0.02
Fe 0.0000 0.0000 0.0000  1.96


Most stable structure: d)


a) The following is a PBE calculation of a geometry-optimized TaFeAs2Br structure, from the Alexandria database.

Summary:
Volume ... 25.8 A^3/atom
Total moment ... 3.92 μB per cell
Space-group type ... P4/mmm
Crystal system ... tetragonal
Density ... 6.008 Mg/m³

Cell: 5.0054 5.0054 5.1466 Å, 90.00 90.00 90.00°
Last column: magnetic moment on the atom in μB.
Element x y z (fractional)
As 0.0000 0.5000 0.0000  -0.01
As 0.5000 0.0000 0.0000  -0.01
Fe 0.5000 0.5000 0.5000  3.39
Br 0.0000 0.0000 0.5000  0.05
Ta 0.0000 0.0000 0.0000  0.11


b) The following is a PBE calculation of a geometry-optimized TaFeAs2Br structure, from the Alexandria database.

Summary:
Volume ... 20.0 A^3/atom
Total moment ... 3.38 μB per cell
Space-group type ... P4/mmm
Crystal system ... tetragonal
Density ... 7.728 Mg/m³

Cell: 4.5160 4.5160 4.9155 Å, 90.00 90.00 90.00°
Last column: magnetic moment on the atom in μB.
Element x y z (fractional)
As 0.0000 0.5000 0.0000  -0.06
As 0.5000 0.0000 0.0000  -0.06
Fe 0.0000 0.0000 0.0000  1.23
Br 0.0000 0.0000 0.5000  -0.04
Ta 0.5000 0.5000 0.5000  1.60


Most stable structure: a)